Record 1
VASP calculation (GGA-PBE) on a relaxed structure of TaH.

- space-group type = F-43m (216)
- VASP energy (eV/atom) = -7.647

Unit cell a=3.1206 b=3.1206 c=3.1206 alpha=60.00 beta=60.00 gamma=60.00
Closest atoms and distances in Å follow each position.
Fractional positions:
Ta 0.0000 0.0000 0.0000  4 H 1.91
H 0.2500 0.2500 0.2500  4 Ta 1.91

Record 2
VASP calculation (GGA-PBE) on a relaxed structure of TaH.

- space-group type = Pm-3n (223)
- VASP energy (eV/atom) = -7.109

Unit cell a=5.3631 b=5.3631 c=5.3631 alpha=90.00 beta=90.00 gamma=90.00
Closest atoms and distances in Å follow each position.
Fractional positions:
Ta 0.0000 0.2500 0.5000  4 H 1.90
Ta 0.0000 0.7500 0.5000  4 H 1.90
Ta 0.2500 0.5000 0.0000  4 H 1.90
Ta 0.5000 0.0000 0.2500  4 H 1.90
Ta 0.5000 0.0000 0.7500  4 H 1.90
Ta 0.7500 0.5000 0.0000  4 H 1.90
H 0.0000 0.5000 0.2500  4 Ta 1.90
H 0.0000 0.5000 0.7500  4 Ta 1.90
H 0.2500 0.0000 0.5000  4 Ta 1.90
H 0.5000 0.2500 0.0000  4 Ta 1.90
H 0.5000 0.7500 0.0000  4 Ta 1.90
H 0.7500 0.0000 0.5000  4 Ta 1.90

Record 3
VASP calculation (GGA-PBE) on a relaxed structure of TaH.

- space-group type = P4_2/mnm (136)
- VASP energy (eV/atom) = -7.734

Unit cell a=4.8289 b=4.8289 c=3.5348 alpha=90.00 beta=90.00 gamma=90.00
Closest atoms and distances in Å follow each position.
Fractional positions:
Ta 0.2500 0.2500 0.0000  4 H 1.91-1.97
Ta 0.2500 0.7500 0.5000  4 H 1.91-1.97
Ta 0.7500 0.2500 0.5000  4 H 1.91-1.97
Ta 0.7500 0.7500 0.0000  4 H 1.91-1.97
H 0.1444 0.1444 0.5000  4 Ta 1.91-1.97, 1 H 1.97
H 0.3556 0.6444 0.0000  4 Ta 1.91-1.97, 1 H 1.97
H 0.6444 0.3556 0.0000  4 Ta 1.91-1.97, 1 H 1.97
H 0.8556 0.8556 0.5000  4 Ta 1.91-1.97, 1 H 1.97

Record 4
VASP calculation (GGA-PBE) on a relaxed structure of TaH.

- space-group type = Fddd (70)
- VASP energy (eV/atom) = -7.760

Unit cell a=4.9799 b=4.9038 c=4.7892 alpha=61.82 beta=60.22 gamma=57.96
Closest atoms and distances in Å follow each position.
Fractional positions:
Ta 0.1149 0.6351 0.6351  4 H 1.92-1.98
Ta 0.3649 0.8851 0.8851  4 H 1.92-1.98
Ta 0.6351 0.1149 0.1149  4 H 1.92-1.98
Ta 0.8851 0.3649 0.3649  4 H 1.92-1.98
H 0.2427 0.2427 0.5073  1 H 1.90, 4 Ta 1.92-1.98
H 0.4927 0.4927 0.7573  1 H 1.90, 4 Ta 1.92-1.98
H 0.5073 0.5073 0.2427  1 H 1.90, 4 Ta 1.92-1.98
H 0.7573 0.7573 0.4927  1 H 1.90, 4 Ta 1.92-1.98

Record 5
VASP calculation (GGA-PBE) on a relaxed structure of TaH.

- space-group type = I-43m (217)
- VASP energy (eV/atom) = -7.153

Unit cell a=4.9620 b=4.9620 c=4.9620 alpha=109.47 beta=109.47 gamma=109.47
Closest atoms and distances in Å follow each position.
Fractional positions:
Ta 0.0000 0.0000 0.4219  1 H 1.78
Ta 0.0000 0.4219 0.0000  1 H 1.78
Ta 0.4219 0.0000 0.0000  1 H 1.78
Ta 0.5781 0.5781 0.5781  1 H 1.78
H 0.0000 0.0000 0.7815  3 H 1.77, 1 Ta 1.78
H 0.0000 0.7815 0.0000  3 H 1.77, 1 Ta 1.78
H 0.2185 0.2185 0.2185  3 H 1.77, 1 Ta 1.78
H 0.7815 0.0000 0.0000  3 H 1.77, 1 Ta 1.78

Record 6
VASP calculation (GGA-PBE) on a relaxed structure of Tb2TaH.

- space-group type = R-3m (166)
- VASP energy (eV/atom) = -5.722

Unit cell a=9.2007 b=9.2007 c=9.2007 alpha=19.83 beta=19.83 gamma=19.83
Closest atoms and distances in Å follow each position.
Fractional positions:
Tb 0.1104 0.1104 0.1104  3 H 2.38
Tb 0.8896 0.8896 0.8896  3 H 2.38
Ta 0.0000 0.0000 0.0000  2 Tb 2.99, 6 Ta 3.17
H 0.5000 0.5000 0.5000  6 Tb 2.38